# 1
Pm2HoZr | PBE | relaxed

Cell lengths 3.4970, 3.4970, 11.5408 Å; angles 81.29, 81.29, 60.00 degrees
Closest atoms and distances in Å follow each position.
Positions (direct):
Pm1 0.0791 0.0791 0.7628  3 Zr 3.35, 6 Pm 3.50, 3 Ho 3.59
Pm2 0.2544 0.2544 0.2367  3 Zr 3.38, 6 Pm 3.50, 3 Ho 3.63
Ho1 0.4994 0.4994 0.5019  6 Ho 3.50, 6 Pm 3.59-3.63
Zr1 0.6671 0.6671 0.9986  6 Pm 3.35-3.38, 6 Zr 3.50

Calculated values
Formation enthalpy at 0 K (eV per atom): 0.12

---

# 2
Ag2Mo2Pd | PBE | relaxed

Cell lengths 7.9105, 7.9105, 2.7521 Å; angles 90.00, 90.00, 90.00 degrees
Closest atoms and distances in Å follow each position.
Positions (direct):
Ag1 0.8784 0.6216 0.0000  6 Mo 2.64-2.77, 3 Ag 2.72-2.75
Ag2 0.1216 0.3784 0.0000  6 Mo 2.64-2.77, 3 Ag 2.72-2.75
Ag3 0.6216 0.1216 0.0000  6 Mo 2.64-2.77, 3 Ag 2.72-2.75
Ag4 0.3784 0.8784 0.0000  6 Mo 2.64-2.77, 3 Ag 2.72-2.75
Pd1 0.0000 0.0000 0.0000  2 Pd 2.75
Pd2 0.5000 0.5000 0.0000  2 Pd 2.75
Mo1 0.6769 0.8231 0.5000  6 Ag 2.64-2.77, 2 Mo 2.75
Mo2 0.1769 0.6769 0.5000  6 Ag 2.64-2.77, 2 Mo 2.75
Mo3 0.3231 0.1769 0.5000  6 Ag 2.64-2.77, 2 Mo 2.75
Mo4 0.8231 0.3231 0.5000  6 Ag 2.64-2.77, 2 Mo 2.75

Calculated values
Formation enthalpy at 0 K (eV per atom): 0.86

---

# 3
Tb3Y3TlIn2 | PBE | relaxed

Cell lengths 3.7921, 8.9397, 8.9397 Å; angles 120.00, 90.00, 90.00 degrees
Closest atoms and distances in Å follow each position.
Positions (direct):
Tl1 0.0000 0.0000 0.0000  6 Y 3.19, 3 Tb 3.42
In1 0.5000 0.6667 0.3333  3 Y 3.21, 6 Tb 3.37
In2 0.5000 0.3333 0.6667  3 Y 3.21, 6 Tb 3.37
Tb1 0.0000 0.0000 0.3826  4 In 3.37, 1 Tl 3.42, 6 Y 3.51-3.62
Tb2 0.0000 0.6174 0.6174  4 In 3.37, 1 Tl 3.42, 6 Y 3.51-3.62
Tb3 0.0000 0.3826 0.0000  4 In 3.37, 1 Tl 3.42, 6 Y 3.51-3.62
Y1 0.5000 0.7127 0.0000  2 Tl 3.19, 2 In 3.21, 2 Tb 3.51
Y2 0.5000 0.2873 0.2873  2 Tl 3.19, 2 In 3.21, 2 Tb 3.51
Y3 0.5000 0.0000 0.7127  2 Tl 3.19, 2 In 3.21, 2 Tb 3.51

Calculated values
Formation enthalpy at 0 K (eV per atom): -0.31

---

# 4
Nd2SiGe2 | PBE | relaxed

Cell lengths 4.2467, 5.9547, 10.0988 Å; angles 81.66, 77.86, 69.11 degrees
Closest atoms and distances in Å follow each position.
Positions (direct):
Ge1 0.6318 0.8546 0.8819  1 Si 2.46
Ge2 0.0458 0.3197 0.5886  2 Si 2.49, 1 Ge 2.56
Ge3 0.3682 0.1454 0.1181  1 Si 2.46
Ge4 0.9542 0.6803 0.4114  2 Si 2.49, 1 Ge 2.56
Si1 0.5586 0.1823 0.7004  3 Ge 2.46-2.49
Si2 0.4414 0.8177 0.2996  3 Ge 2.46-2.49
Nd1 0.2978 0.7607 0.6437  7 Ge 3.12-3.32, 4 Si 3.22-3.39
Nd2 0.9014 0.2950 0.9022  2 Si 3.01, 6 Ge 3.08-3.26
Nd3 0.0986 0.7050 0.0978  2 Si 3.01, 6 Ge 3.08-3.26
Nd4 0.7022 0.2393 0.3563  7 Ge 3.12-3.32, 4 Si 3.22-3.39

Calculated values
Uncorrected formation energy (eV per atom): -0.69

---

# 5
NaLaHg4 | PBE | relaxed

Cell lengths 6.0692, 6.0692, 6.0692 Å; angles 60.00, 60.00, 60.00 degrees
Closest atoms and distances in Å follow each position.
Positions (direct):
La1 0.0000 0.0000 0.0000  12 Hg 3.56, 4 Na 3.72
Hg1 0.6250 0.6250 0.6250  6 Hg 3.03-3.04
Hg2 0.6250 0.6250 0.1251  6 Hg 3.03-3.04
Hg3 0.1251 0.6250 0.6250  6 Hg 3.03-3.04
Hg4 0.6250 0.1251 0.6250  6 Hg 3.03-3.04
Na1 0.2500 0.2500 0.2500  12 Hg 3.56, 4 La 3.72

Calculated values
Formation enthalpy at 0 K (eV per atom): -0.21

---

# 6
ZrHg2Sb | PBE | relaxed

Cell lengths 5.8822, 5.8822, 3.2536 Å; angles 81.93, 81.93, 119.61 degrees
Closest atoms and distances in Å follow each position.
Positions (direct):
Hg1 0.5000 0.5000 0.0000  4 Hg 2.96-3.25, 2 Sb 3.15, 2 Zr 3.15
Hg2 0.0000 0.0000 0.0000  4 Hg 2.96-3.25, 2 Zr 3.15, 2 Sb 3.15
Zr1 0.0000 0.5000 0.5000  2 Sb 2.96, 4 Hg 3.15, 2 Zr 3.25
Sb1 0.5000 0.0000 0.5000  2 Zr 2.96, 4 Hg 3.15, 2 Sb 3.25

Calculated values
Uncorrected formation energy (eV per atom): -0.04

---

# 7
BaAl2GaRu | PBE | relaxed

Cell lengths 5.9842, 5.0556, 5.9842 Å; angles 90.00, 90.00, 90.00 degrees
Closest atoms and distances in Å follow each position.
Positions (direct):
Ba1 0.0000 0.0000 0.0000  2 Ru 2.53
Ru1 0.0000 0.5000 0.0000  2 Ba 2.53
Ga1 0.5000 0.5000 0.5000  8 Al 3.92, 4 Ru 4.23
Al1 0.5000 0.0000 0.0000  2 Ba 2.99
Al2 0.0000 0.0000 0.5000  2 Ba 2.99

Calculated values
Formation enthalpy at 0 K (eV per atom): 1.75

---

# 8
CrInOs4 | PBE | relaxed

Cell lengths 5.1934, 5.1934, 5.1934 Å; angles 60.00, 60.00, 60.00 degrees
Closest atoms and distances in Å follow each position.
Positions (direct):
Os1 0.6245 0.6245 0.6245  6 Os 2.59-2.61
Os2 0.6245 0.1265 0.6245  6 Os 2.59-2.61
Os3 0.6245 0.6245 0.1265  6 Os 2.59-2.61
Os4 0.1265 0.6245 0.6245  6 Os 2.59-2.61
In1 0.0000 0.0000 0.0000  12 Os 3.05, 4 Cr 3.18
Cr1 0.2500 0.2500 0.2500  12 Os 3.04, 4 In 3.18

Calculated values
Formation enthalpy at 0 K (eV per atom): 0.66

---

# 9
La6Al7 | PBE | relaxed

Cell lengths 11.5230, 11.5230, 11.5230 Å; angles 29.44, 29.44, 29.44 degrees
Closest atoms and distances in Å follow each position.
Positions (direct):
La1 0.9466 0.9466 0.9466  1 La 3.07, 6 Al 3.26
La2 0.3356 0.3356 0.3356  6 La 3.38-3.78, 6 Al 3.55-3.66
La3 0.8537 0.8537 0.8537  1 La 3.07, 9 Al 3.36-3.43
La4 0.0534 0.0534 0.0534  1 La 3.07, 6 Al 3.26
La5 0.6644 0.6644 0.6644  6 La 3.38-3.78, 6 Al 3.55-3.66
La6 0.1463 0.1463 0.1463  1 La 3.07, 9 Al 3.36-3.43
Al1 0.0913 0.5990 0.5990  5 Al 2.88-2.97
Al2 0.4010 0.4010 0.9087  5 Al 2.88-2.97
Al3 0.9087 0.4010 0.4010  5 Al 2.88-2.97
Al4 0.5990 0.5990 0.0913  5 Al 2.88-2.97
Al5 0.4010 0.9087 0.4010  5 Al 2.88-2.97
Al6 0.5000 0.5000 0.5000  6 Al 2.89
Al7 0.5990 0.0913 0.5990  5 Al 2.88-2.97

Calculated values
Formation enthalpy at 0 K (eV per atom): -0.39

---

# 10
LaPbW | PBE | relaxed

Cell lengths 4.8925, 4.8925, 4.8925 Å; angles 60.00, 60.00, 60.00 degrees
Closest atoms and distances in Å follow each position.
Positions (direct):
La1 0.0000 0.0000 0.0000  4 W 3.00
W1 0.7500 0.7500 0.7500  4 Pb 3.00, 4 La 3.00
Pb1 0.5000 0.5000 0.5000  4 W 3.00

Calculated values
Formation enthalpy at 0 K (eV per atom): 0.86

---

# 11
Sm2Hg5 | PBE | relaxed

Cell lengths 6.7676, 7.4582, 8.7036 Å; angles 115.37, 112.88, 90.00 degrees
Closest atoms and distances in Å follow each position.
Positions (direct):
Hg1 0.3876 0.1037 0.7751  4 Sm 3.10-3.39, 6 Hg 3.15-3.24
Hg2 0.7500 0.5000 0.0000  8 Hg 3.15-3.38, 4 Sm 3.22
Hg3 0.4793 0.7293 0.4587  7 Hg 3.18-3.38, 4 Sm 3.21-3.28
Hg4 0.5207 0.2707 0.5413  7 Hg 3.18-3.38, 4 Sm 3.21-3.28
Hg5 0.9793 0.7293 0.4587  7 Hg 3.18-3.38, 4 Sm 3.21-3.28
Hg6 0.0207 0.2707 0.5413  7 Hg 3.18-3.38, 4 Sm 3.21-3.28
Hg7 0.1124 0.3286 0.2249  4 Sm 3.10-3.39, 6 Hg 3.15-3.24
Hg8 0.8876 0.6714 0.7751  4 Sm 3.10-3.39, 6 Hg 3.15-3.24
Hg9 0.6124 0.8963 0.2249  4 Sm 3.10-3.39, 6 Hg 3.15-3.24
Hg10 0.2500 0.5000 0.0000  8 Hg 3.15-3.38, 4 Sm 3.22
Sm1 0.1099 0.9110 0.2197  10 Hg 3.10-3.39
Sm2 0.3901 0.6913 0.7803  10 Hg 3.10-3.39
Sm3 0.8901 0.0890 0.7803  10 Hg 3.10-3.39
Sm4 0.6099 0.3087 0.2197  10 Hg 3.10-3.39

Calculated values
Formation enthalpy at 0 K (eV per atom): -0.38

---

# 12
TbPm2NdS6 | PBE | relaxed

Cell lengths 7.1086, 7.1086, 7.4921 Å; angles 61.68, 61.68, 60.00 degrees
Closest atoms and distances in Å follow each position.
Positions (direct):
Nd1 0.8122 0.8123 0.5632  6 S 2.80-2.90
S1 0.7093 0.1231 0.7540  2 Pm 2.79-2.88, 1 Tb 2.80, 1 Nd 2.80
S2 0.1231 0.4137 0.7540  2 Pm 2.79-2.88, 1 Tb 2.80, 1 Nd 2.80
S3 0.6103 0.2122 0.2515  1 Tb 2.74, 2 Pm 2.80-2.88, 1 Nd 2.90
S4 0.9261 0.6103 0.2515  1 Tb 2.74, 2 Pm 2.80-2.88, 1 Nd 2.90
S5 0.2121 0.9261 0.2515  1 Tb 2.74, 2 Pm 2.80-2.88, 1 Nd 2.90
S6 0.4137 0.7093 0.7540  2 Pm 2.79-2.88, 1 Tb 2.80, 1 Nd 2.80
Pm1 0.0182 0.0183 0.9452  6 S 2.79-2.88
Pm2 0.5207 0.5207 0.4378  6 S 2.80-2.88
Tb1 0.3159 0.3158 0.0525  6 S 2.74-2.80

Calculated values
Uncorrected formation energy (eV per atom): -2.03

---

# 13
HoCu2Ru | PBE | relaxed

Cell lengths 4.0230, 3.9661, 3.9661 Å; angles 90.00, 90.00, 90.00 degrees
Closest atoms and distances in Å follow each position.
Positions (direct):
Ho1 0.5000 0.5000 0.5000  4 Ru 2.80, 8 Cu 2.82
Ru1 0.5000 0.0000 0.0000  4 Ho 2.80, 8 Cu 2.82
Cu1 0.0000 0.0000 0.5000  4 Cu 2.80, 4 Ho 2.82, 4 Ru 2.82
Cu2 0.0000 0.5000 0.0000  4 Cu 2.80, 4 Ru 2.82, 4 Ho 2.82

Calculated values
Formation enthalpy at 0 K (eV per atom): -0.09

---

# 14
PrPuBi2O8 | PBE | relaxed

Cell lengths 5.3450, 5.3439, 7.1682 Å; angles 88.94, 91.15, 89.62 degrees
Closest atoms and distances in Å follow each position.
Positions (direct):
O1 0.8273 0.1707 0.2080  1 Pu 2.00
O2 0.2533 0.2535 0.0018  1 Pu 1.92
O3 0.7467 0.7465 0.9982  1 Pu 1.92
O4 0.1727 0.8293 0.7920  1 Pu 2.00
O5 0.3166 0.3160 0.4992  2 Bi 2.22, 1 Pr 2.40
O6 0.6834 0.6840 0.5008  2 Bi 2.22, 1 Pr 2.40
O7 0.1905 0.8072 0.2365  1 Pu 2.20, 1 Bi 2.21, 1 Pr 2.41
O8 0.8095 0.1928 0.7635  1 Pu 2.20, 1 Bi 2.21, 1 Pr 2.41
Pr1 0.0000 0.0000 0.5000  6 O 2.40-2.43
Bi1 0.5148 0.4851 0.7411  3 O 2.21-2.22
Bi2 0.4852 0.5149 0.2589  3 O 2.21-2.22
Pu1 0.0000 0.0000 0.0000  4 O 1.92-2.00

Calculated values
Uncorrected formation energy (eV per atom): -2.08

---

# 15
Y2GeP | PBE | relaxed

Cell lengths 3.9489, 3.9489, 7.4681 Å; angles 74.67, 74.67, 60.00 degrees
Closest atoms and distances in Å follow each position.
Positions (direct):
Ge1 0.5000 0.5000 0.5000  6 Y 2.98
P1 0.0000 0.0000 0.0000  6 Y 2.81
Y1 0.2567 0.2567 0.2300  3 P 2.81, 3 Ge 2.98
Y2 0.7433 0.7433 0.7700  3 P 2.81, 3 Ge 2.98

Calculated values
Formation enthalpy at 0 K (eV per atom): -1.17

---

# 16
Th3CuSe6 | PBE | relaxed

Cell lengths 6.8427, 9.0185, 9.0185 Å; angles 101.03, 90.00, 90.00 degrees
Closest atoms and distances in Å follow each position.
Positions (direct):
Th1 0.8831 0.6117 0.3883  7 Se 2.92-3.03
Th2 0.3831 0.3883 0.6117  7 Se 2.92-3.03
Th3 0.9754 0.7305 0.9311  7 Se 2.97-3.01
Th4 0.4754 0.2695 0.0689  7 Se 2.97-3.01
Th5 0.4754 0.9311 0.7305  7 Se 2.97-3.01
Th6 0.9754 0.0689 0.2695  7 Se 2.97-3.01
Se1 0.6804 0.3096 0.3685  4 Th 2.97-3.03
Se2 0.7001 0.5577 0.0910  1 Cu 2.44
Se3 0.6804 0.6315 0.6904  4 Th 2.97-3.03
Se4 0.1682 0.0349 0.9651  1 Cu 2.50
Se5 0.2001 0.4423 0.9090  1 Cu 2.44
Se6 0.2001 0.0910 0.5577  1 Cu 2.44
Se7 0.6682 0.9651 0.0349  1 Cu 2.50
Se8 0.1761 0.7724 0.2276  1 Cu 2.55
Se9 0.1804 0.3685 0.3096  4 Th 2.97-3.03
Se10 0.7001 0.9090 0.4423  1 Cu 2.44
Se11 0.1804 0.6904 0.6315  4 Th 2.97-3.03
Se12 0.6761 0.2276 0.7724  1 Cu 2.55
Cu1 0.0460 0.2041 0.7959  4 Se 2.44-2.55
Cu2 0.5460 0.7959 0.2041  4 Se 2.44-2.55

Calculated values
Uncorrected formation energy (eV per atom): -1.48

---

# 17
SrTcN3 | PBE | relaxed

Cell lengths 11.9143, 8.0604, 8.0604 Å; angles 82.96, 126.39, 53.61 degrees
Closest atoms and distances in Å follow each position.
Positions (direct):
N1 0.1170 0.8455 0.3132  1 Tc 1.75
N2 0.8824 0.4208 0.4193  1 Tc 1.75
N3 0.1176 0.5792 0.5807  1 Tc 1.75
N4 0.3830 0.8132 0.3455  1 Tc 1.75
N5 0.4998 0.6638 0.8356  2 Tc 1.93
N6 0.6170 0.1868 0.6545  1 Tc 1.75
N7 0.9998 0.6644 0.8362  2 Tc 1.93
N8 0.0002 0.3356 0.1638  2 Tc 1.93
N9 0.8830 0.1545 0.6868  1 Tc 1.75
N10 0.5002 0.3362 0.1644  2 Tc 1.93
N11 0.6176 0.9193 0.9208  1 Tc 1.75
N12 0.3824 0.0807 0.0792  1 Tc 1.75
Sr1 0.3011 0.8430 0.9449  6 N 2.65-2.69
Sr2 0.1989 0.4449 0.3430  6 N 2.65-2.69
Sr3 0.6989 0.1570 0.0551  6 N 2.65-2.69
Sr4 0.8011 0.5551 0.6570  6 N 2.65-2.69
Tc1 0.7500 0.5874 0.0874  4 N 1.75-1.93
Tc2 0.2500 0.4126 0.9126  4 N 1.75-1.93
Tc3 0.7500 0.0880 0.5880  4 N 1.75-1.93
Tc4 0.2500 0.9120 0.4120  4 N 1.75-1.93

Calculated values
Uncorrected formation energy (eV per atom): -0.30

---

# 18
CuAgF3 | PBE | relaxed

Cell lengths 13.8820, 5.9692, 5.9692 Å; angles 142.50, 147.08, 32.92 degrees
Closest atoms and distances in Å follow each position.
Positions (direct):
F1 0.9232 0.4377 0.5623  2 Cu 1.92
F2 0.8092 0.2772 0.7228  1 Cu 1.91
F3 0.1908 0.7228 0.2772  1 Cu 1.91
F4 0.0768 0.5623 0.4377  2 Cu 1.92
F5 0.3597 0.8036 0.1964  1 Cu 1.90
F6 0.6403 0.1964 0.8036  1 Cu 1.90
Cu1 0.0824 0.0461 0.9539  4 F 1.90-1.92
Cu2 0.9176 0.9539 0.0461  4 F 1.90-1.92
Ag1 0.4163 0.9685 0.0315  5 F 2.41-2.59
Ag2 0.5837 0.0315 0.9685  5 F 2.41-2.59

Calculated values
Uncorrected formation energy (eV per atom): -1.30

---

# 19
Nd5Dy4In4 | PBE | relaxed

Cell lengths 5.1192, 9.2198, 9.2198 Å; angles 85.58, 73.88, 73.88 degrees
Closest atoms and distances in Å follow each position.
Positions (direct):
Dy1 0.9055 0.4886 0.7005  3 In 3.16-3.31
Dy2 0.0945 0.5114 0.2995  3 In 3.16-3.31
Dy3 0.6059 0.2995 0.4886  3 In 3.16-3.31
Dy4 0.3941 0.7005 0.5114  3 In 3.16-3.31
In1 0.2375 0.6596 0.8654  3 Dy 3.16-3.31, 4 Nd 3.24-3.29
In2 0.1029 0.1346 0.6596  3 Dy 3.16-3.31, 4 Nd 3.24-3.29
In3 0.8971 0.8654 0.3404  3 Dy 3.16-3.31, 4 Nd 3.24-3.29
In4 0.7625 0.3404 0.1346  3 Dy 3.16-3.31, 4 Nd 3.24-3.29
Nd1 0.4008 0.2909 0.9074  5 In 3.29-3.65, 2 Dy 3.60
Nd2 0.3083 0.0926 0.2909  5 In 3.29-3.65, 2 Dy 3.60
Nd3 0.0000 0.0000 0.0000  4 In 3.24
Nd4 0.6917 0.9074 0.7091  5 In 3.29-3.65, 2 Dy 3.60
Nd5 0.5992 0.7091 0.0926  5 In 3.29-3.65, 2 Dy 3.60

Calculated values
Formation enthalpy at 0 K (eV per atom): -0.31

---

# 20
TlAg | PBE | relaxed

Cell lengths 6.2854, 6.2854, 6.2854 Å; angles 149.05, 131.40, 58.74 degrees
Closest atoms and distances in Å follow each position.
Positions (direct):
Tl1 0.1446 0.8946 0.7500  6 Ag 3.11-3.21, 4 Tl 3.35-3.47
Tl2 0.8554 0.1054 0.2500  6 Ag 3.11-3.21, 4 Tl 3.35-3.47
Ag1 0.3948 0.6448 0.2500  2 Ag 2.85, 4 Tl 3.11
Ag2 0.6052 0.3552 0.7500  2 Ag 2.85, 4 Tl 3.11

Calculated values
Formation enthalpy at 0 K (eV per atom): 0.13

---

# 21
NiIr3Pd | PBE | relaxed

Cell lengths 4.7273, 4.7273, 4.7273 Å; angles 90.00, 90.00, 90.00 degrees
Closest atoms and distances in Å follow each position.
Positions (direct):
Ir1 0.0000 0.5000 0.0000  2 Pd 2.36
Ir2 0.0000 0.0000 0.5000  2 Pd 2.36
Ir3 0.5000 0.0000 0.0000  2 Pd 2.36
Ni1 0.5000 0.5000 0.5000  12 Ir 3.34
Pd1 0.0000 0.0000 0.0000  6 Ir 2.36

Calculated values
Formation enthalpy at 0 K (eV per atom): 2.40

---

# 22
RbNa2Ag2 | PBE | relaxed

Cell lengths 4.9610, 4.9610, 7.5802 Å; angles 70.90, 70.90, 90.00 degrees
Closest atoms and distances in Å follow each position.
Positions (direct):
Ag1 0.6042 0.6042 0.7916  1 Ag 2.80
Ag2 0.3958 0.3958 0.2084  1 Ag 2.80
Na1 0.7500 0.2500 0.5000  4 Ag 3.16, 4 Na 3.51
Na2 0.2500 0.7500 0.5000  4 Ag 3.16, 4 Na 3.51
Rb1 0.0000 0.0000 0.0000  8 Ag 3.78, 8 Na 4.18

Calculated values
Formation enthalpy at 0 K (eV per atom): 0.02

---

# 23
NpTl2HgF8 | PBE | relaxed

Cell lengths 6.1667, 6.1667, 7.1463 Å; angles 115.56, 115.56, 90.00 degrees
Closest atoms and distances in Å follow each position.
Positions (direct):
F1 0.5677 0.6421 0.7327  1 Np 2.28, 1 F 2.48
F2 0.3579 0.4323 0.2673  1 Np 2.28, 1 F 2.48
F3 0.3579 0.8350 0.2673  1 Np 2.28, 1 F 2.48
F4 0.9094 0.4323 0.2673  1 Np 2.28, 1 F 2.48
F5 0.5677 0.0906 0.7327  1 Np 2.28, 1 F 2.48
F6 0.1650 0.0906 0.7327  1 Np 2.28, 1 F 2.48
F7 0.9094 0.8350 0.2673  1 Np 2.28, 1 F 2.48
F8 0.1650 0.6421 0.7327  1 Np 2.28, 1 F 2.48
Hg1 0.5000 0.5000 0.0000  8 F 2.59
Np1 0.2500 0.7500 0.5000  8 F 2.28
Tl1 0.0000 0.0000 0.0000  8 F 2.76
Tl2 0.7500 0.2500 0.5000  8 F 2.83

Calculated values
Uncorrected formation energy (eV per atom): -2.39

---

# 24
LaThTlPb | PBE | relaxed

Cell lengths 5.5960, 5.5960, 5.5960 Å; angles 60.00, 60.00, 60.00 degrees
Closest atoms and distances in Å follow each position.
Positions (direct):
Th1 0.2500 0.2500 0.2500  4 Tl 3.43, 4 Pb 3.43
Tl1 0.0000 0.0000 0.0000  4 La 3.43, 4 Th 3.43
La1 0.7500 0.7500 0.7500  4 Tl 3.43, 4 Pb 3.43
Pb1 0.5000 0.5000 0.5000  4 Th 3.43, 4 La 3.43

Calculated values
Formation enthalpy at 0 K (eV per atom): -0.26